CaSb2Rh2: relaxed, GGA-PBE.

Output
spin magnetization	0.0	Bohr magnetons per cell
crystal system	tetragonal
theoretical density	7.93	Mg/m³
ΔE_f (raw)	-0.392	eV/atom

Cell lengths 7.9476, 7.9476, 3.2464 Å; angles 90.00, 90.00, 90.00 degrees
Closest atoms and distances in Å follow each position.
Fractional coordinates of all 10 atoms:
Ca 0.0000 0.0000 0.0000  4 Sb 3.04, 2 Ca 3.25
Ca 0.5000 0.5000 0.0000  4 Sb 3.04, 2 Ca 3.25
Sb 0.1472 0.3528 0.0000  6 Rh 2.77-2.94, 2 Ca 3.04
Sb 0.3528 0.8528 0.0000  6 Rh 2.77-2.94, 2 Ca 3.04
Sb 0.6472 0.1472 0.0000  6 Rh 2.77-2.94, 2 Ca 3.04
Sb 0.8528 0.6472 0.0000  6 Rh 2.77-2.94, 2 Ca 3.04
Rh 0.1348 0.6348 0.5000  6 Sb 2.77-2.94, 1 Rh 3.03
Rh 0.3652 0.1348 0.5000  6 Sb 2.77-2.94, 1 Rh 3.03
Rh 0.6348 0.8652 0.5000  6 Sb 2.77-2.94, 1 Rh 3.03
Rh 0.8652 0.3652 0.5000  6 Sb 2.77-2.94, 1 Rh 3.03